First-principles (SCAN) data for a PBEsol-optimized structure of P2PbBr, as listed in Alexandria via LeMat-Bulk.

Lattice parameters (Å, degrees): 3.355 5.248 6.019 99.77 106.18 90.00
Sites, in units of the cell vectors:
P (0.239, 0.129, 0.477)
P (0.761, 0.871, 0.523)
Pb (0.500, 0.000, 0.000)
Br (0.000, 0.500, 0.000)

formation energy from raw total energies = -41 meV per atom
M_tot = 0.00 μB per formula unit
total energy = -116.20 eV per cell